1.
The following is a PBE-GGA calculation of crystalline Zn2Ga at its relaxed geometry, from OQMD.

abc: 4.8418 8.2783 4.8607
angles: 90.00 90.00 90.00
Sites, in units of the cell vectors:
1 Zn 0.2500 0.0878 0.0766
2 Zn 0.2500 0.2500 0.5835
3 Zn 0.2500 0.4122 0.0766
4 Zn 0.2500 0.7500 0.0887
5 Zn 0.7500 0.2500 0.9113
6 Zn 0.7500 0.5878 0.9234
7 Zn 0.7500 0.7500 0.4165
8 Zn 0.7500 0.9122 0.9234
9 Ga 0.2500 0.5811 0.5862
10 Ga 0.2500 0.9189 0.5862
11 Ga 0.7500 0.0811 0.4138
12 Ga 0.7500 0.4189 0.4138

calculated total energy: -21.52 eV per cell
crystal system: orthorhombic

2.
The following is a PBE-GGA calculation of crystalline ZnGa at its relaxed geometry, from OQMD.

abc: 4.7692 8.7231 4.8304
angles: 90.00 90.00 90.00
Sites, in units of the cell vectors:
1 Zn 0.0000 0.0758 0.0000
2 Zn 0.0000 0.9242 0.5000
3 Zn 0.5000 0.0776 0.6810
4 Zn 0.5000 0.4177 0.6597
5 Zn 0.5000 0.5823 0.1597
6 Zn 0.5000 0.9224 0.1810
7 Ga 0.0000 0.2406 0.5057
8 Ga 0.0000 0.4159 0.9959
9 Ga 0.0000 0.5841 0.4959
10 Ga 0.0000 0.7594 0.0057
11 Ga 0.5000 0.2481 0.1663
12 Ga 0.5000 0.7519 0.6663

calculated total energy: -25.00 eV per cell
crystal system: orthorhombic

3.
The following is a PBE-GGA calculation of crystalline ZnGa at its relaxed geometry, from OQMD.

abc: 2.8544 4.7114 9.9351
angles: 90.00 90.00 90.00
Sites, in units of the cell vectors:
1 Zn 0.2500 0.2500 0.0317
2 Zn 0.2500 0.7500 0.1981
3 Zn 0.7500 0.2500 0.8019
4 Zn 0.7500 0.7500 0.9683
5 Ga 0.2500 0.2500 0.5520
6 Ga 0.2500 0.7500 0.7212
7 Ga 0.7500 0.2500 0.2788
8 Ga 0.7500 0.7500 0.4480

calculated total energy: -16.77 eV per cell
crystal system: orthorhombic

4.
The following is a PBE-GGA calculation of crystalline ZnGa at its relaxed geometry, from OQMD.

abc: 5.6436 5.6436 4.8677
angles: 90.00 90.00 120.00
Sites, in units of the cell vectors:
1 Zn 0.0000 0.0000 0.0000
2 Zn 0.1646 0.3292 0.5000
3 Zn 0.1646 0.8354 0.5000
4 Zn 0.6708 0.8354 0.5000
5 Ga 0.0031 0.5015 0.0000
6 Ga 0.4985 0.5015 0.0000
7 Ga 0.4985 0.9969 0.0000
8 Ga 0.6667 0.3333 0.5000

calculated total energy: -16.62 eV per cell
crystal system: hexagonal

5.
The following is a PBE-GGA calculation of crystalline ZnGa at its relaxed geometry, from OQMD.

abc: 2.8962 2.8962 4.7182
angles: 90.00 90.00 120.00
Sites, in units of the cell vectors:
1 Zn 0.0000 0.0000 0.0000
2 Ga 0.3333 0.6667 0.5000

calculated total energy: -4.16 eV per cell
crystal system: hexagonal

6.
The following is a PBE-GGA calculation of crystalline Zn3Ga at its relaxed geometry, from OQMD.

abc: 5.2863 3.9995 5.9560
angles: 90.00 92.65 90.00
Sites, in units of the cell vectors:
1 Zn 0.1181 0.2500 0.1309
2 Zn 0.1254 0.2500 0.6192
3 Zn 0.3704 0.7500 0.3781
4 Zn 0.6296 0.2500 0.6219
5 Zn 0.8746 0.7500 0.3808
6 Zn 0.8819 0.7500 0.8691
7 Ga 0.3780 0.7500 0.8667
8 Ga 0.6220 0.2500 0.1333

calculated total energy: -13.36 eV per cell
crystal system: monoclinic

7.
The following is a PBE-GGA calculation of crystalline Zn2Ga at its relaxed geometry, from OQMD.

abc: 4.7823 4.7823 4.8374
angles: 90.00 90.00 61.59
Sites, in units of the cell vectors:
1 Zn 0.0023 0.3350 0.2500
2 Zn 0.3350 0.0023 0.7500
3 Zn 0.6650 0.9977 0.2500
4 Zn 0.9977 0.6650 0.7500
5 Ga 0.3258 0.6742 0.2500
6 Ga 0.6742 0.3258 0.7500

calculated total energy: -10.76 eV per cell
crystal system: orthorhombic

8.
The following is a PBE-GGA calculation of crystalline Zn4Ga3 at its relaxed geometry, from OQMD.

abc: 7.4621 7.4621 4.7887
angles: 90.00 90.00 120.00
Sites, in units of the cell vectors:
1 Zn 0.0979 0.4897 0.2500
2 Zn 0.3333 0.6667 0.7500
3 Zn 0.3918 0.9021 0.2500
4 Zn 0.4897 0.3918 0.7500
5 Zn 0.5103 0.6082 0.2500
6 Zn 0.6082 0.0979 0.7500
7 Zn 0.6667 0.3333 0.2500
8 Zn 0.9021 0.5103 0.7500
9 Ga 0.0530 0.2439 0.7500
10 Ga 0.1909 0.9470 0.7500
11 Ga 0.2439 0.1909 0.2500
12 Ga 0.7561 0.8091 0.7500
13 Ga 0.8091 0.0530 0.2500
14 Ga 0.9470 0.7561 0.2500

crystal system: hexagonal
energy above the lowest structure with this stoichiometry: 0 meV per atom